DFT (GGA-PBE) results for crystalline FeCu2Pt5 at its relaxed geometry.

Calculated values
Calculated total energy, eV/atom: -5.873
Symmetry: I4/mcm (140)
Formation enthalpy at 0 K, eV/f.u.: -0.12
Relative energy among the computed polymorphs, eV per formula unit: 1.33

a = 7.156 Å, b = 7.156 Å, c = 7.156 Å
α = 125.14°, β = 125.14°, γ = 81.31°
Sites, in units of the cell vectors:
Fe: 0.250 0.250 0.000
Fe: 0.750 0.750 0.000
Cu: 0.140 0.640 0.781
Cu: 0.360 0.140 0.500
Cu: 0.640 0.860 0.500
Cu: 0.860 0.360 0.219
Pt: 0.000 0.000 0.000
Pt: 0.007 0.812 0.500
Pt: 0.188 0.688 0.195
Pt: 0.312 0.507 0.500
Pt: 0.493 0.993 0.805
Pt: 0.500 0.500 0.000
Pt: 0.507 0.007 0.195
Pt: 0.688 0.493 0.500
Pt: 0.812 0.312 0.805
Pt: 0.993 0.188 0.500